A relaxed structure of Tb2CdGa2Rh5, computed with GGA-PBE.

```
data_Tb2CdGa2Rh5
_symmetry_space_group_name_H-M 'P 4/m b m'
_symmetry_Int_Tables_number 127
_symmetry_space_group_name_Hall '-P 4 2ab'
_cell_length_a 9.8501
_cell_length_b 9.8501
_cell_length_c 3.6077
_cell_angle_alpha 90.00
_cell_angle_beta 90.00
_cell_angle_gamma 90.00
loop_
_atom_site_label
_atom_site_type_symbol
_atom_site_fract_x
_atom_site_fract_y
_atom_site_fract_z
Tb1 Tb 0.1747 0.3253 0.0000
Cd1 Cd 0.0000 0.0000 0.0000
Ga1 Ga 0.1236 0.6236 0.0000
Rh1 Rh 0.0000 0.5000 0.5000
Rh2 Rh 0.0694 0.7909 0.5000
```

Density, g/cm3: 10.29
Size of the total moment, μB per formula unit: 0.0
Total DFT energy (no corrections), eV per cell: -119.96